1.
! GGA-PBE AlCr2Se, optimized geometry; values from VASP
&SYSTEM
  ibrav = 0, nat = 4, ntyp = 3
/
ATOMIC_SPECIES
Cr 52.00 Cr.upf
Al 26.98 Al.upf
Se 78.96 Se.upf
CELL_PARAMETERS angstrom
-0.0419 -4.8372 -0.3907
4.1875 -1.4911 -1.9478
-1.8129 2.3469 3.8417
ATOMIC_POSITIONS angstrom
Cr 4.0995 -6.2580 -2.3125
Cr 2.1189 -3.2345 -1.1952
Al 2.2237 -1.1542 0.3623
Se 0.1090 -2.8272 1.1409
! Energy above the lowest structure with this stoichiometry = 293 meV per atom
! Total moment = 3.60 μB per formula unit

2.
! GGA-PBE Ac5Pm2Ge4, optimized geometry; values from VASP
&SYSTEM
  ibrav = 0, nat = 11, ntyp = 3
/
ATOMIC_SPECIES
Ac 227.00 Ac.upf
Pm 145.00 Pm.upf
Ge 72.64 Ge.upf
CELL_PARAMETERS angstrom
-3.4596 0.7142 1.8737
2.2336 -5.7771 6.3262
6.3296 8.4686 4.1922
ATOMIC_POSITIONS angstrom
Ac 3.6670 -2.6984 7.7994
Ac 1.4366 6.1040 4.5927
Ac 1.8515 -0.6749 3.6759
Ac -1.7298 0.3571 0.9368
Ac 3.2521 4.0806 8.7162
Pm 1.8764 0.6506 7.4835
Pm 3.2272 2.7550 4.9086
Ge 0.8116 -1.9233 6.4984
Ge 1.9318 -3.6478 4.9572
Ge 4.2921 5.3289 5.8937
Ge 3.1719 7.0534 7.4349
! Total moment = 0.00 μB per formula unit
! ΔE_f = -0.274 eV per atom

3.
! GGA-PBE NbZn2CrH, optimized geometry; values from VASP
&SYSTEM
  ibrav = 0, nat = 5, ntyp = 4
/
ATOMIC_SPECIES
Cr 52.00 Cr.upf
Nb 92.91 Nb.upf
Zn 65.41 Zn.upf
H 1.01 H.upf
CELL_PARAMETERS angstrom
-3.8469 -2.7949 -0.2791
2.5138 -3.3233 -1.3676
0.6601 -1.3596 4.5171
ATOMIC_POSITIONS angstrom
Cr 0.0000 0.0000 0.0000
Nb 1.2569 -1.6617 -0.6838
Zn 0.3300 -0.6798 2.2585
Zn -1.9234 -1.3975 -0.1396
H -0.3365 -3.7390 1.4351
! Energy = -3.85 eV per atom
! Total moment = 1.16 μB per formula unit

4.
! GGA-PBE Ce2MoH6, optimized geometry; values from VASP
&SYSTEM
  ibrav = 0, nat = 9, ntyp = 3
/
ATOMIC_SPECIES
Ce 140.12 Ce.upf
Mo 95.94 Mo.upf
H 1.01 H.upf
CELL_PARAMETERS angstrom
-3.8858 0.7280 -3.3996
-2.1119 -4.0840 -2.4592
-4.8334 -1.5484 1.1946
ATOMIC_POSITIONS angstrom
Ce -2.7078 -1.2261 -1.1660
Ce -8.1234 -3.6783 -3.4981
Mo 0.0000 0.0000 0.0000
H -6.1730 -4.0268 -1.8035
H -3.7798 -3.2602 -2.3950
H -7.0513 -1.6442 -2.2691
H -4.6581 -0.8776 -2.8606
H -5.7038 -2.8997 -4.0782
H -5.1273 -2.0047 -0.5859
! Energy = -5.16 eV per atom
! Total moment = 1.97 μB per formula unit

Which formula does entry 4 have? Ce2MoH6